[1]
First-principles (PBE) data for crystalline Ba3Zn4Pt2 at its relaxed geometry, as listed in Alexandria via LeMat-Bulk.

Values from the calculation:
E_form   -493 meV per atom
Mass density   7.1 Mg/m³

Unit cell a=12.1116 b=4.5666 c=9.1170 alpha=90.00 beta=100.56 gamma=90.00
Space group C2/m (No. 12)
Asymmetric unit:
Ba (0.0000, 0.0000, 0.0000)
Ba (0.1690, 0.5000, 0.6586)
Zn (0.0546, 0.0000, 0.3787)
Zn (0.2216, 0.5000, 0.0620)
Pt (0.1102, 0.5000, 0.2778)


[2]
First-principles (PBE) data for crystalline La2ScAs4Pd3 at its relaxed geometry, as listed in Alexandria via LeMat-Bulk.

Values from the calculation:
E_form   -1028 meV per atom
Mass density   7.5 Mg/m³

Unit cell a=4.4539 b=4.4539 c=10.5624 alpha=90.00 beta=90.00 gamma=90.00
Space group P-4m2 (No. 115)
Asymmetric unit:
La (0.0000, 0.5000, 0.2247)
Sc (0.0000, 0.0000, 0.5000)
As (0.0000, 0.0000, 0.0000)
As (0.0000, 0.5000, 0.6426)
As (0.5000, 0.5000, 0.0000)
Pd (0.0000, 0.5000, 0.8813)
Pd (0.5000, 0.5000, 0.5000)


[3]
First-principles (PBE) data for crystalline Cr2NiOs at its relaxed geometry, as listed in Alexandria via LeMat-Bulk.

Values from the calculation:
E_form   130 meV per atom
Mass density   11.9 Mg/m³

Unit cell a=2.6018 b=2.6018 c=7.2968 alpha=90.00 beta=90.00 gamma=90.00
Space group P4/mmm (No. 123)
Asymmetric unit:
Cr (0.0000, 0.0000, 0.2434)
Ni (0.5000, 0.5000, 0.0000)
Os (0.5000, 0.5000, 0.5000)


[4]
First-principles (PBE) data for crystalline KAlI at its relaxed geometry, as listed in Alexandria via LeMat-Bulk.

Values from the calculation:
Formation energy (no corrections)   -0.529 eV per atom
Mass density   2.7 Mg/m³

Unit cell a=4.7669 b=5.3398 c=9.5644 alpha=75.11 beta=89.85 gamma=89.82
Space group P-1 (No. 2)
Asymmetric unit:
K (0.2472, 0.3569, 0.2475)
Al (0.2504, 0.9558, 0.9627)
I (0.2524, 0.1920, 0.6633)


[5]
First-principles (PBE) data for crystalline NaAc2Tb at its relaxed geometry, as listed in Alexandria via LeMat-Bulk.

Values from the calculation:
E_form   147 meV per atom
Mass density   6.8 Mg/m³

Unit cell a=6.2403 b=6.2403 c=4.0164 alpha=90.00 beta=90.00 gamma=90.00
Space group P4/mmm (No. 123)
Asymmetric unit:
Na (0.0000, 0.0000, 0.0000)
Ac (0.0000, 0.5000, 0.5000)
Tb (0.5000, 0.5000, 0.0000)


[6]
First-principles (PBE) data for crystalline Tb3HoTh2P6 at its relaxed geometry, as listed in Alexandria via LeMat-Bulk.

Values from the calculation:
E_form   -1602 meV per atom
Mass density   7.5 Mg/m³

Unit cell a=17.7055 b=4.0719 c=8.1135 alpha=90.00 beta=103.19 gamma=90.00
Space group C2/m (No. 12)
Asymmetric unit:
Tb (0.0000, 0.0000, 0.0000)
Tb (0.1660, 0.5000, 0.3341)
Ho (0.0000, 0.0000, 0.5000)
Th (0.1647, 0.5000, 0.8298)
P (0.0015, 0.5000, 0.2525)
P (0.1657, 0.0000, 0.0861)
P (0.1657, 0.0000, 0.5785)